CoReP2 | PBE | relaxed

The space group is R3m (No. 160, hexagonal axes) and the conventional cell measures 2.9332, 2.9332 and 21.3001 Å, with angles of 90.00, 90.00 and 120.00 degrees. The distinct sites, in fractional coordinates, are Co at (0.0000, 0.0000, 0.0000), Re at (0.0000, 0.0000, 0.2323), P at (0.0000, 0.0000, 0.4870) and P at (0.0000, 0.0000, 0.7315).

Its calculated formation energy is 1.5 kJ per mole of atoms. The magnetization comes out at 0.32 Bohr magnetons per cell. The crystal system is trigonal. The calculation puts the total DFT energy (no corrections) at -30.31 eV/f.u.